This record from OQMD describes crystalline CsTbCo at its relaxed geometry. The functional is PBE.

Cell lengths 7.0990, 7.0990, 7.0990 Å; angles 90.00, 90.00, 90.00 degrees
Space group F-43m (No. 216)
Symmetry-distinct sites (fractional):
Cs1 0.0000 0.0000 0.0000 (multiplicity 4)
Tb1 0.0000 0.0000 0.5000 (multiplicity 4)
Co1 0.2500 0.2500 0.2500 (multiplicity 4)

Summary:
**Final energy**: -38.24 eV per cell
**Theoretical density**: 6.5 g/cm³
**Size of the total moment**: 0.42 μB/cell